(1)
{
  "formula": "K2CdSe",
  "functional": "PBE",
  "state": "optimized geometry",
  "lattice": [[-5.755, -3.737, -0.763], [2.899, -3.387, -5.272], [1.917, -9.924, 2.910]],
  "species": ["Se", "Se", "K", "K", "K", "K", "Cd", "Cd"],
  "fractional_positions": [[0.250, 0.750, 0.500], [0.500, 0.500, 0.000], [0.213, 0.625, 0.250], [0.875, 0.787, 0.750], [0.537, 0.125, 0.250], [0.375, 0.463, 0.750], [0.000, 0.000, 0.000], [0.750, 0.250, 0.500]],
  "e_form_raw_ev_per_atom": -0.417,
  "magnetic_moment_mub_per_fu": 0.00,
  "crystal_system": "tetragonal",
  "relative_energy_mev_per_atom": 240.4
}

---

(2)
{
  "formula": "Dy4Zn3In",
  "functional": "PBE",
  "state": "optimized geometry",
  "lattice": [[5.089, 0.000, 0.000], [0.000, 7.348, 0.000], [0.000, 0.000, 10.177]],
  "species": ["Zn", "Zn", "Zn", "Zn", "Zn", "Zn", "Dy", "Dy", "Dy", "Dy", "Dy", "Dy", "Dy", "Dy", "In", "In"],
  "fractional_positions": [[0.500, 0.000, 0.250], [0.000, 0.000, 0.000], [0.000, 0.000, 0.500], [0.500, 0.000, 0.750], [0.500, 0.500, 0.250], [0.500, 0.500, 0.750], [0.000, 0.761, 0.750], [0.500, 0.762, 0.000], [0.000, 0.239, 0.750], [0.500, 0.238, 0.500], [0.500, 0.762, 0.500], [0.000, 0.239, 0.250], [0.000, 0.761, 0.250], [0.500, 0.238, 0.000], [0.000, 0.500, 0.000], [0.000, 0.500, 0.500]],
  "magnetic_moment_mub_per_fu": 0.00,
  "crystal_system": "tetragonal",
  "ef_ev_per_atom": -0.37,
  "relative_energy_mev_per_atom": 0.0
}

---

(3)
{
  "formula": "Pr2SmY4Sc",
  "functional": "PBE",
  "state": "optimized geometry",
  "lattice": [[-1.062, -4.910, 0.664], [3.085, -0.125, 4.015], [-4.634, 2.357, 10.022]],
  "species": ["Y", "Y", "Y", "Y", "Pr", "Pr", "Sc", "Sm"],
  "fractional_positions": [[0.500, 0.744, 0.256], [0.500, 0.256, 0.744], [0.000, 0.244, 0.256], [0.000, 0.756, 0.744], [0.000, 0.000, 0.000], [0.500, 0.000, 0.500], [0.000, 0.500, 0.500], [0.500, 0.500, 0.000]],
  "magnetic_moment_mub_per_fu": 0.00,
  "crystal_system": "tetragonal",
  "ef_ev_per_atom": 0.04
}

---

(4)
{
  "formula": "Li5La5Si4N12",
  "functional": "PBE",
  "state": "optimized geometry",
  "lattice": [[-3.249, 2.218, -4.013], [-8.897, -1.369, 6.445], [1.567, 10.080, 4.303]],
  "species": ["N", "N", "N", "N", "N", "N", "N", "N", "N", "N", "N", "N", "N", "N", "N", "N", "N", "N", "N", "N", "N", "N", "N", "N", "Li", "Li", "Li", "Li", "Li", "Li", "Li", "Li", "Li", "Li", "Si", "Si", "Si", "Si", "Si", "Si", "Si", "Si", "La", "La", "La", "La", "La", "La", "La", "La", "La", "La"],
  "fractional_positions": [[0.197, 0.333, 0.969], [0.267, 0.108, 0.106], [0.733, 0.106, 0.892], [0.803, 0.031, 0.333], [0.803, 0.969, 0.667], [0.000, 0.713, 0.787], [0.267, 0.392, 0.606], [0.500, 0.828, 0.328], [0.197, 0.167, 0.469], [0.000, 0.787, 0.287], [0.733, 0.606, 0.608], [0.500, 0.672, 0.828], [0.197, 0.667, 0.031], [0.000, 0.213, 0.713], [0.733, 0.394, 0.392], [0.500, 0.172, 0.672], [0.267, 0.608, 0.394], [0.733, 0.894, 0.108], [0.803, 0.469, 0.833], [0.267, 0.892, 0.894], [0.500, 0.328, 0.172], [0.803, 0.531, 0.167], [0.197, 0.833, 0.531], [0.000, 0.287, 0.213], [0.145, 0.615, 0.208], [0.000, 0.500, 0.000], [0.145, 0.885, 0.708], [0.145, 0.115, 0.292], [0.855, 0.208, 0.385], [0.855, 0.708, 0.115], [0.145, 0.385, 0.792], [0.000, 0.000, 0.500], [0.855, 0.792, 0.615], [0.855, 0.292, 0.885], [0.238, 0.768, 0.390], [0.238, 0.732, 0.890], [0.762, 0.610, 0.768], [0.238, 0.232, 0.610], [0.238, 0.268, 0.110], [0.762, 0.390, 0.232], [0.762, 0.890, 0.268], [0.762, 0.110, 0.732], [0.500, 0.000, 0.500], [0.732, 0.878, 0.882], [0.500, 0.500, 0.000], [0.732, 0.378, 0.618], [0.268, 0.618, 0.622], [0.732, 0.122, 0.118], [0.268, 0.882, 0.122], [0.268, 0.382, 0.378], [0.732, 0.622, 0.382], [0.268, 0.118, 0.878]],
  "e_form_raw_ev_per_atom": -1.216,
  "magnetic_moment_mub_per_fu": 0.00,
  "crystal_system": "tetragonal"
}

---

(5)
{
  "formula": "Y2NbAuN",
  "functional": "PBE",
  "state": "optimized geometry",
  "lattice": [[-3.478, -2.340, 2.421], [2.018, -4.235, -1.193], [2.333, 0.132, 3.480]],
  "species": ["Nb", "N", "Y", "Y", "Au"],
  "fractional_positions": [[0.000, 0.000, 0.500], [0.000, 0.000, 0.000], [0.500, 0.000, 0.000], [0.000, 0.500, 0.000], [0.500, 0.500, 0.500]],
  "e_form_raw_ev_per_atom": -0.806,
  "magnetic_moment_mub_per_fu": 0.94,
  "crystal_system": "tetragonal"
}

---

(6)
{
  "formula": "LiHfHg2",
  "functional": "PBE",
  "state": "optimized geometry",
  "lattice": [[3.303, 0.000, 0.000], [0.000, 4.964, 0.000], [0.000, 0.000, 4.964]],
  "species": ["Hf", "Li", "Hg", "Hg"],
  "fractional_positions": [[0.500, 0.000, 0.000], [0.500, 0.500, 0.500], [0.000, 0.000, 0.500], [0.000, 0.500, 0.000]],
  "magnetic_moment_mub_per_fu": 0.00,
  "crystal_system": "tetragonal",
  "ef_ev_per_atom": -0.19
}

---

(7)
{
  "formula": "PPtO5",
  "functional": "PBE",
  "state": "optimized geometry",
  "lattice": [[-2.913, 2.991, -3.068], [-3.472, -3.835, -0.291], [0.201, 2.712, 6.706]],
  "species": ["P", "P", "O", "O", "O", "O", "O", "O", "O", "O", "O", "O", "Pt", "Pt"],
  "fractional_positions": [[0.876, 0.624, 0.250], [0.124, 0.376, 0.750], [0.751, 0.723, 0.063], [0.401, 0.099, 0.250], [0.201, 0.669, 0.335], [0.249, 0.277, 0.937], [0.831, 0.299, 0.165], [0.223, 0.251, 0.563], [0.799, 0.331, 0.665], [0.599, 0.901, 0.750], [0.777, 0.749, 0.437], [0.169, 0.701, 0.835], [0.500, 0.000, 0.500], [0.500, 0.000, 0.000]],
  "e_form_raw_ev_per_atom": -1.148,
  "magnetic_moment_mub_per_fu": 0.00,
  "crystal_system": "monoclinic"
}

---

(8)
{
  "formula": "Pm10Tl3Bi3",
  "functional": "PBE",
  "state": "optimized geometry",
  "lattice": [[-4.834, -4.237, -2.202], [4.014, -0.205, -8.418], [2.482, -6.210, 6.503]],
  "species": ["Tl", "Tl", "Tl", "Pm", "Pm", "Pm", "Pm", "Pm", "Pm", "Pm", "Pm", "Pm", "Pm", "Bi", "Bi", "Bi"],
  "fractional_positions": [[0.500, 0.000, 0.395], [0.500, 0.605, 0.605], [0.500, 0.395, 0.000], [0.000, 0.238, 0.000], [0.500, 0.763, 0.000], [0.000, 0.762, 0.762], [0.000, 0.000, 0.238], [0.253, 0.333, 0.667], [0.747, 0.333, 0.667], [0.500, 0.237, 0.237], [0.253, 0.667, 0.333], [0.500, 0.000, 0.763], [0.747, 0.667, 0.333], [0.000, 0.393, 0.393], [0.000, 0.000, 0.607], [0.000, 0.607, 0.000]],
  "magnetic_moment_mub_per_fu": 0.00,
  "crystal_system": "hexagonal",
  "ef_ev_per_atom": -0.54
}

---

(9)
{
  "formula": "Sc2NiH",
  "functional": "PBE",
  "state": "optimized geometry",
  "lattice": [[2.179, 0.000, 6.514], [-1.090, 1.887, 6.514], [-1.090, -1.887, 6.514]],
  "species": ["Ni", "H", "Sc", "Sc"],
  "fractional_positions": [[0.500, 0.500, 0.500], [0.000, 0.000, 0.000], [0.901, 0.901, 0.901], [0.099, 0.099, 0.099]],
  "magnetic_moment_mub_per_fu": 0.00,
  "crystal_system": "trigonal",
  "relative_energy_mev_per_atom": 355.6
}

---

(10)
{
  "formula": "NaTa2Al2",
  "functional": "PBE",
  "state": "optimized geometry",
  "lattice": [[-2.621, -0.299, -2.872], [2.879, 0.039, -2.631], [0.529, -6.885, -2.414]],
  "species": ["Al", "Al", "Ta", "Ta", "Na"],
  "fractional_positions": [[0.598, 0.598, 0.804], [0.402, 0.402, 0.196], [0.250, 0.750, 0.500], [0.750, 0.250, 0.500], [0.000, 0.000, 0.000]],
  "magnetic_moment_mub_per_fu": 0.00,
  "crystal_system": "tetragonal",
  "ef_ev_per_atom": 0.43,
  "relative_energy_mev_per_atom": 288.0
}

---

(11)
{
  "formula": "Pm12Tm2Sc5",
  "functional": "PBE",
  "state": "optimized geometry",
  "lattice": [[9.211, 0.000, 0.000], [-4.605, 7.602, 1.291], [0.000, -1.517, 8.357]],
  "species": ["Pm", "Pm", "Pm", "Pm", "Pm", "Pm", "Pm", "Pm", "Pm", "Pm", "Pm", "Pm", "Sc", "Sc", "Sc", "Sc", "Sc", "Tm", "Tm"],
  "fractional_positions": [[0.026, 0.686, 0.767], [0.568, 0.136, 0.337], [0.661, 0.686, 0.767], [0.821, 0.252, 0.666], [0.179, 0.748, 0.334], [0.974, 0.314, 0.233], [0.569, 0.748, 0.334], [0.432, 0.864, 0.663], [0.431, 0.252, 0.666], [0.091, 0.182, 0.879], [0.909, 0.818, 0.121], [0.339, 0.314, 0.233], [0.304, 0.608, 0.980], [0.228, 0.456, 0.568], [0.772, 0.544, 0.432], [0.696, 0.392, 0.020], [0.000, 0.000, 0.500], [0.671, 0.000, 0.000], [0.329, 0.000, 0.000]],
  "magnetic_moment_mub_per_fu": 0.00,
  "crystal_system": "monoclinic",
  "ef_ev_per_atom": 0.15
}

---

(12)
{
  "formula": "Pm5Tm7",
  "functional": "PBE",
  "state": "optimized geometry",
  "lattice": [[-2.269, -0.017, 2.765], [-7.815, -3.263, -4.119], [-0.195, -11.867, 2.079]],
  "species": ["Tm", "Tm", "Tm", "Tm", "Tm", "Tm", "Tm", "Pm", "Pm", "Pm", "Pm", "Pm"],
  "fractional_positions": [[0.972, 0.305, 0.751], [0.363, 0.026, 0.248], [0.666, 0.665, 0.003], [0.028, 0.695, 0.249], [0.500, 0.500, 0.500], [0.334, 0.335, 0.997], [0.637, 0.974, 0.752], [0.695, 0.361, 0.249], [0.835, 0.833, 0.498], [0.165, 0.167, 0.502], [0.000, 0.000, 0.000], [0.305, 0.639, 0.751]],
  "magnetic_moment_mub_per_fu": 0.00,
  "crystal_system": "monoclinic",
  "ef_ev_per_atom": 0.01,
  "relative_energy_mev_per_atom": 0.0
}

---

| no. | energy (eV for the cell shown) | N(E_F) (states/eV per cell) |
| --- | --- | --- |
| 1 | -16.53 | 0.0 |
| 2 | -55.84 | 17.4 |
| 3 | -46.17 | 12.6 |
| 4 | -374.81 | 0.0 |
| 5 | -38.63 | 3.8 |
| 6 | -13.22 | 1.6 |
| 7 | -88.55 | 5.1 |
| 8 | -74.87 | 17.5 |
| 9 | -22.28 | 3.0 |
| 10 | -30.38 | 6.3 |
| 11 | -94.73 | 27.2 |
| 12 | -54.98 | 16.0 |